{
  "formula": "CaFe2Br",
  "functional": "GGA-PBE",
  "state": "optimized geometry",
  "lattice_angstrom": [[-1.232, 3.093, 3.395], [0.058, -1.332, 4.565], [3.305, 1.741, 2.943]],
  "species": ["Ca", "Fe", "Fe", "Br"],
  "frac_coords": [[0.250, 0.250, 0.250], [0.750, 0.750, 0.750], [0.000, 0.000, 0.000], [0.500, 0.500, 0.500]],
  "spacegroup": "F-43m (216)",
  "magnetic_moment_mub_per_cell": 5.20,
  "total_energy_ev_per_atom": -4.654,
  "formation_energy_uncorrected_mev_per_atom": 496,
  "de_polymorph_mev_per_atom": 535.4
}


{
  "formula": "CaFe2Br",
  "functional": "GGA-PBE",
  "state": "optimized geometry",
  "lattice_angstrom": [[5.478, -0.023, 0.000], [1.817, 5.168, 0.000], [-2.883, -3.656, 2.886]],
  "species": ["Ca", "Fe", "Fe", "Br"],
  "frac_coords": [[0.251, 0.751, 0.500], [0.764, 0.264, 0.500], [0.940, 0.940, 0.000], [0.545, 0.545, 0.000]],
  "spacegroup": "Imm2 (44)",
  "magnetic_moment_mub_per_cell": 4.73,
  "total_energy_ev_per_atom": -4.834,
  "formation_energy_uncorrected_mev_per_atom": 316,
  "de_polymorph_mev_per_atom": 354.9
}


{
  "formula": "Ca4FeBr",
  "functional": "GGA-PBE",
  "state": "optimized geometry",
  "lattice_angstrom": [[0.000, 4.830, 4.830], [4.830, 0.000, 4.830], [4.830, 4.830, 0.000]],
  "species": ["Br", "Ca", "Ca", "Ca", "Ca", "Fe"],
  "frac_coords": [[0.000, 0.000, 0.000], [0.376, 0.872, 0.376], [0.872, 0.376, 0.376], [0.376, 0.376, 0.376], [0.376, 0.376, 0.872], [0.750, 0.750, 0.750]],
  "spacegroup": "F-43m (216)",
  "magnetic_moment_mub_per_cell": 1.68,
  "total_energy_ev_per_atom": -2.493,
  "formation_energy_uncorrected_mev_per_atom": 531
}


{
  "formula": "CaFe2Br",
  "functional": "GGA-PBE",
  "state": "optimized geometry",
  "lattice_angstrom": [[-3.955, -0.035, 0.267], [-1.889, -3.332, 1.021], [0.458, 1.753, 6.412]],
  "species": ["Ca", "Fe", "Fe", "Br"],
  "frac_coords": [[0.708, 0.708, 0.790], [0.043, 0.043, 0.105], [0.376, 0.376, 0.110], [0.373, 0.373, 0.495]],
  "spacegroup": "Cm (8)",
  "magnetic_moment_mub_per_cell": 4.92,
  "total_energy_ev_per_atom": -5.129,
  "formation_energy_uncorrected_mev_per_atom": 21,
  "de_polymorph_mev_per_atom": 60.4
}


{
  "formula": "CaFe2IBr",
  "functional": "GGA-PBE",
  "state": "optimized geometry",
  "lattice_angstrom": [[-1.990, -1.494, 3.977], [-0.828, -5.761, -2.579], [4.205, -1.323, 1.606]],
  "species": ["Fe", "Fe", "Ca", "Br", "I"],
  "frac_coords": [[0.000, 0.000, 0.500], [0.500, 0.000, 0.000], [0.000, 0.500, 0.000], [0.500, 0.500, 0.500], [0.000, 0.000, 0.000]],
  "spacegroup": "P4/mmm (123)",
  "magnetic_moment_mub_per_cell": 4.00,
  "total_energy_ev_per_atom": -3.887,
  "formation_energy_uncorrected_mev_per_atom": 543
}


{
  "formula": "CaFe2I6Br2",
  "functional": "GGA-PBE",
  "state": "optimized geometry",
  "lattice_angstrom": [[7.491, 0.000, 0.000], [-3.745, 6.487, 0.000], [0.000, 0.000, 10.628]],
  "species": ["I", "I", "I", "I", "I", "I", "Fe", "Fe", "Ca", "Br", "Br"],
  "frac_coords": [[0.003, 0.660, 0.824], [0.340, 0.343, 0.824], [0.657, 0.997, 0.824], [0.343, 0.003, 0.176], [0.660, 0.657, 0.176], [0.997, 0.340, 0.176], [0.667, 0.333, 0.254], [0.333, 0.667, 0.746], [0.000, 0.000, 0.000], [0.667, 0.333, 0.470], [0.333, 0.667, 0.530]],
  "spacegroup": "P-3 (147)",
  "magnetic_moment_mub_per_cell": 9.99,
  "total_energy_ev_per_atom": -3.470,
  "formation_energy_uncorrected_mev_per_atom": -600
}